Entry 1:
First-principles (GGA-PBEsol) data for crystalline SbRhI2N at its relaxed geometry, as listed in Alexandria.

## Properties
N(E_F) ... 4.94 states/eV per cell
Space-group type ... P4/mmm (123)
Total moment ... 0.6 μB/f.u.
Raw formation energy ... 555.5 kJ/mol of formula units
Uncorrected energy ... -19.0 eV per cell

Lattice parameters (Å, degrees): 4.774 4.774 4.616 90.00 90.00 90.00
Fractional coordinates of all 5 atoms:
1 I 0.000 0.500 0.000
2 I 0.500 0.000 0.000
3 Sb 0.000 0.000 0.500
4 Rh 0.500 0.500 0.500
5 N 0.000 0.000 0.000


Entry 2:
First-principles (GGA-PBEsol) data for crystalline ScRhI2N at its relaxed geometry, as listed in Alexandria.

## Properties
N(E_F) ... 5.97 states/eV per cell
Space-group type ... P4/mmm (123)
Total moment ... 2.6 μB/f.u.
Raw formation energy ... 230.6 kJ/mol of formula units
Uncorrected energy ... -24.4 eV per cell
Energy relative to the lowest polymorph listed for this composition ... 1.88 eV per formula unit

Lattice parameters (Å, degrees): 3.792 5.657 5.657 90.00 90.00 90.00
Fractional coordinates of all 5 atoms:
1 I 0.000 0.000 0.500
2 I 0.000 0.500 0.000
3 Sc 0.000 0.000 0.000
4 Rh 0.500 0.500 0.500
5 N 0.500 0.000 0.000


Entry 3:
First-principles (GGA-PBEsol) data for crystalline ScRhI2N at its relaxed geometry, as listed in Alexandria.

## Properties
N(E_F) ... 5.10 states/eV per cell
Space-group type ... P4/mmm (123)
Total moment ... 0.9 μB/f.u.
Raw formation energy ... 49.6 kJ/mol of formula units
Uncorrected energy ... -26.3 eV per cell
Energy relative to the lowest polymorph listed for this composition ... 0.00 eV per formula unit

Lattice parameters (Å, degrees): 3.663 5.526 5.526 90.00 90.00 90.00
Fractional coordinates of all 5 atoms:
1 I 0.000 0.000 0.500
2 I 0.000 0.500 0.000
3 Sc 0.500 0.500 0.500
4 Rh 0.000 0.000 0.000
5 N 0.500 0.000 0.000


Entry 4:
First-principles (GGA-PBEsol) data for crystalline SiRhI2N at its relaxed geometry, as listed in Alexandria.

## Properties
N(E_F) ... 3.70 states/eV per cell
Space-group type ... P4/mmm (123)
Total moment ... 0.0 μB/f.u.
Raw formation energy ... 266.9 kJ/mol of formula units
Uncorrected energy ... -23.2 eV per cell

Lattice parameters (Å, degrees): 3.267 5.416 5.416 90.00 90.00 90.00
Fractional coordinates of all 5 atoms:
1 I 0.000 0.000 0.500
2 I 0.000 0.500 0.000
3 Si 0.000 0.000 0.000
4 Rh 0.500 0.500 0.500
5 N 0.500 0.000 0.000


Entry 5:
First-principles (GGA-PBEsol) data for crystalline SrRhIN2 at its relaxed geometry, as listed in Alexandria.

## Properties
N(E_F) ... 7.83 states/eV per cell
Space-group type ... P4/mmm (123)
Total moment ... 6.0 μB/f.u.
Raw formation energy ... 895.1 kJ/mol of formula units
Uncorrected energy ... -19.5 eV per cell

Lattice parameters (Å, degrees): 4.604 4.604 6.386 90.00 90.00 90.00
Fractional coordinates of all 5 atoms:
1 I 0.000 0.000 0.500
2 Sr 0.000 0.000 0.000
3 Rh 0.500 0.500 0.500
4 N 0.000 0.500 0.000
5 N 0.500 0.000 0.000


Entry 6:
First-principles (GGA-PBEsol) data for crystalline TlRhIN2 at its relaxed geometry, as listed in Alexandria.

## Properties
N(E_F) ... 4.20 states/eV per cell
Space-group type ... P4/mmm (123)
Total moment ... 0.1 μB/f.u.
Raw formation energy ... 549.8 kJ/mol of formula units
Uncorrected energy ... -23.9 eV per cell
Energy relative to the lowest polymorph listed for this composition ... 0.00 eV per formula unit

Lattice parameters (Å, degrees): 4.051 4.051 5.540 90.00 90.00 90.00
Fractional coordinates of all 5 atoms:
1 I 0.000 0.000 0.500
2 Tl 0.500 0.500 0.500
3 Rh 0.000 0.000 0.000
4 N 0.000 0.500 0.000
5 N 0.500 0.000 0.000